{
  "formula": "TlCrCd2Pb",
  "functional": "PBE",
  "state": "optimized geometry",
  "cell": [[-1.6212, -5.2294, -0.5084], [4.9559, -1.7984, 2.6958], [-2.5352, 0.3126, 4.8692]],
  "species": ["Tl", "Cr", "Cd", "Cd", "Pb"],
  "frac_coords": [[0.0000, 0.0000, 0.0000], [0.5000, 0.5000, 0.5000], [0.0000, 0.0000, 0.5000], [0.5000, 0.0000, 0.0000], [0.0000, 0.5000, 0.0000]],
  "rho_g_cm3": 6.39,
  "e_form_ev_per_atom": 0.94,
  "sg": "P4/mmm (123)",
  "magnetic_moment_mub_per_cell": 5.0
}

{
  "formula": "V2CrCdPb",
  "functional": "PBE",
  "state": "optimized geometry",
  "cell": [[4.5348, 0.0000, 0.0000], [0.0000, 5.0944, 0.0000], [0.0000, 0.0000, 4.5348]],
  "species": ["Pb", "Cd", "Cr", "V", "V"],
  "frac_coords": [[0.0000, 0.5000, 0.0000], [0.5000, 0.5000, 0.5000], [0.0000, 0.0000, 0.0000], [0.5000, 0.0000, 0.0000], [0.0000, 0.0000, 0.5000]],
  "rho_g_cm3": 7.50,
  "e_form_ev_per_atom": 0.91,
  "sg": "P4/mmm (123)",
  "magnetic_moment_mub_per_cell": 2.8
}

{
  "formula": "CrCd2Pd",
  "functional": "PBE",
  "state": "optimized geometry",
  "cell": [[-2.3773, 6.7052, -2.0092], [-5.9248, -3.0575, -3.1933], [-5.5316, 2.0399, -0.2467]],
  "species": ["Cd", "Cd", "Cd", "Cd", "Pd", "Pd", "Cr", "Cr"],
  "frac_coords": [[0.8750, 0.8742, 0.7500], [0.6242, 0.1250, 0.2500], [0.1258, 0.6250, 0.2500], [0.3750, 0.3758, 0.7500], [0.7500, 0.2500, 0.5000], [0.0000, 0.0000, 0.0000], [0.2500, 0.7500, 0.5000], [0.5000, 0.5000, 0.0000]],
  "rho_g_cm3": 8.51,
  "e_form_ev_per_atom": 0.72,
  "sg": "I-42d (122)",
  "magnetic_moment_mub_per_cell": 0.0
}